[1]
This record from Alexandria via LeMat-Bulk describes a geometry-optimized Ac5Pa2O12 structure. The functional is GGA-PBE.

## Properties
E_form (uncorrected) ... -3435.1 meV per atom
E_tot ... -328.597 eV per cell

Unit cell a=13.645 b=6.746 c=8.124 alpha=90.00 beta=107.15 gamma=90.00
Space group C2/m (No. 12)
Asymmetric unit:
Ac1 0.000 0.000 0.000 x2
Ac2 0.198 0.500 0.331 x4
Ac3 0.200 0.500 0.865 x4
Pa1 0.000 0.242 0.500 x4
O1 0.002 0.000 0.690 x4
O2 0.003 0.500 0.323 x4
O3 0.156 0.249 0.077 x8
O4 0.165 0.271 0.583 x8

[2]
This record from Alexandria via LeMat-Bulk describes a geometry-optimized AcErAsPt structure. The functional is GGA-PBE.

## Properties
E_tot ... -92.626 eV per cell
Energy relative to the elements ... -0.949 eV/atom

Unit cell a=7.373 b=7.373 c=7.373 alpha=90.00 beta=90.00 gamma=90.00
Space group F-43m (No. 216)
Asymmetric unit:
Ac1 0.000 0.000 0.000 x4
Er1 0.000 0.000 0.500 x4
As1 0.250 0.250 0.250 x4
Pt1 0.250 0.250 0.750 x4

[3]
This record from Alexandria via LeMat-Bulk describes a geometry-optimized La5HgBi2 structure. The functional is GGA-PBE.

## Properties
E_tot ... -74.672 eV per cell
Energy relative to the elements ... -0.579 eV/atom

Unit cell a=7.423 b=7.423 c=9.221 alpha=90.00 beta=90.00 gamma=90.00
Space group I4mm (No. 107)
Asymmetric unit:
La1 0.000 0.000 0.000 x2
La2 0.248 0.248 0.742 x8
Hg1 0.000 0.000 0.486 x2
Bi1 0.000 0.500 0.492 x4

[4]
This record from Alexandria via LeMat-Bulk describes a geometry-optimized Er4NbN5 structure. The functional is GGA-PBE.

## Properties
E_form (uncorrected) ... -1613.2 meV per atom
E_tot ... -172.159 eV per cell

Unit cell a=7.490 b=7.490 c=4.746 alpha=90.00 beta=90.00 gamma=90.00
Space group I4/m (No. 87)
Asymmetric unit:
Er1 0.098 0.297 0.000 x8
Nb1 0.000 0.000 0.500 x2
N1 0.000 0.000 0.000 x2
N2 0.097 0.288 0.500 x8

[5]
This record from Alexandria via LeMat-Bulk describes a geometry-optimized Sc6As5P structure. The functional is GGA-PBE.

## Properties
E_tot ... -166.742 eV per cell
Energy relative to the elements ... -1.394 eV/atom

Unit cell a=6.685 b=11.578 c=6.681 alpha=90.00 beta=109.47 gamma=90.00
Space group C2/m (No. 12)
Asymmetric unit:
Sc1 0.245 0.000 0.252 x4
Sc2 0.246 0.164 0.747 x8
As1 0.000 0.168 0.000 x4
As2 0.000 0.334 0.500 x4
As3 0.000 0.500 0.000 x2
P1 0.000 0.000 0.500 x2

[6]
This record from Alexandria via LeMat-Bulk describes a geometry-optimized DyTm5Te6 structure. The functional is GGA-PBE.

## Properties
E_form (uncorrected) ... -1186.2 meV per atom
E_tot ... -120.087 eV per cell

Unit cell a=7.471 b=12.930 c=7.450 alpha=90.00 beta=109.44 gamma=90.00
Space group C2/m (No. 12)
Asymmetric unit:
Dy1 0.000 0.000 0.000 x2
Tm1 0.000 0.160 0.500 x4
Tm2 0.000 0.334 0.000 x4
Tm3 0.000 0.500 0.500 x2
Te1 0.244 0.500 0.248 x4
Te2 0.246 0.331 0.746 x8

[7]
This record from Alexandria via LeMat-Bulk describes a geometry-optimized Ta4MnW structure. The functional is GGA-PBE.

## Properties
Excess energy over the best structure of this formula in the dataset ... 0.6050 eV/atom
E_tot ... -266.038 eV per cell
Energy relative to the elements ... 0.504 eV/atom

Unit cell a=7.584 b=7.584 c=7.584 alpha=90.00 beta=90.00 gamma=90.00
Space group F-43m (No. 216)
Asymmetric unit:
Ta1 0.124 0.124 0.124 x16
Mn1 0.000 0.000 0.500 x4
W1 0.250 0.250 0.750 x4

[8]
This record from Alexandria via LeMat-Bulk describes a geometry-optimized PrTiPd structure. The functional is GGA-PBE.

## Properties
E_tot ... -74.147 eV per cell
Energy relative to the elements ... -0.223 eV/atom

Unit cell a=4.826 b=4.836 c=11.219 alpha=90.00 beta=90.00 gamma=90.00
Space group Cmmm (No. 65)
Asymmetric unit:
Pr1 0.000 0.000 0.174 x4
Ti1 0.000 0.500 0.378 x4
Pd1 0.000 0.000 0.500 x2
Pd2 0.000 0.500 0.000 x2

Computed theoretical density (g cm⁻³) in order:
8.315, 11.008, 8.583, 10.377, 4.600, 8.676, 14.654, 7.489
Computed D(E_F) (states/eV/cell) in order:
6.52, 12.26, 18.18, 4.27, 4.00, 11.67, 20.07, 18.06